Version w
{
  "formula": "Re2Tc",
  "functional": "PBE",
  "state": "optimized geometry",
  "dos_ef_per_ev_atom": 0.931,
  "mass_density_g_cm3": 17.213,
  "sg": "No. 191",
  "lattice": [[2.189, -3.792, 0.000], [2.189, 3.792, 0.000], [0.000, 0.000, 2.733]],
  "species": ["Re", "Re", "Tc"],
  "frac_coords": [[0.333, 0.667, 0.000], [0.667, 0.333, 0.000], [0.000, 0.000, 0.500]]
}

Version x
{
  "formula": "Re2Tc",
  "functional": "PBE",
  "state": "optimized geometry",
  "dos_ef_per_ev_atom": 0.737,
  "mass_density_g_cm3": 17.558,
  "sg": "No. 63",
  "lattice": [[0.118, -2.424, -1.330], [1.827, -1.892, 3.609], [-6.620, -0.452, 3.116]],
  "species": ["Re", "Re", "Re", "Re", "Tc", "Tc"],
  "frac_coords": [[0.445, 0.250, 0.890], [0.555, 0.750, 0.110], [0.778, 0.250, 0.556], [0.222, 0.750, 0.444], [0.111, 0.250, 0.222], [0.889, 0.750, 0.778]]
}

Version y
{
  "formula": "Re2Tc",
  "functional": "PBE",
  "state": "optimized geometry",
  "dos_ef_per_ev_atom": 0.674,
  "mass_density_g_cm3": 16.885,
  "sg": "No. 141",
  "lattice": [[-3.551, 11.364, 2.873], [-4.531, 11.342, -0.915], [2.263, -12.025, -0.515]],
  "species": ["Re", "Re", "Re", "Re", "Tc", "Tc"],
  "frac_coords": [[0.422, 0.422, 0.000], [0.578, 0.578, 0.000], [0.172, 0.672, 0.500], [0.328, 0.828, 0.500], [0.750, 0.250, 0.500], [0.000, 0.000, 0.000]]
}

Most stable: version x (next structure +155 meV/atom)

Version w
{
  "formula": "Re2Tc",
  "functional": "PBE",
  "state": "optimized geometry",
  "dos_ef_per_ev_atom": 0.943,
  "mass_density_g_cm3": 17.552,
  "sg": "No. 12",
  "lattice": [[-1.852, -0.980, -1.821], [-1.329, -2.130, 4.614], [-4.525, 4.068, 2.414]],
  "species": ["Re", "Re", "Re", "Re", "Tc", "Tc"],
  "frac_coords": [[0.000, 0.001, 0.999], [0.387, 0.775, 0.722], [0.668, 0.336, 0.667], [0.055, 0.111, 0.389], [0.334, 0.668, 0.330], [0.722, 0.443, 0.059]]
}

Version x
{
  "formula": "Re2Tc",
  "functional": "PBE",
  "state": "optimized geometry",
  "dos_ef_per_ev_atom": 0.749,
  "mass_density_g_cm3": 14.472,
  "sg": "No. 205",
  "lattice": [[-2.056, 1.666, -5.384], [5.253, -1.508, -2.473], [-2.041, -5.562, -0.942]],
  "species": ["Re", "Re", "Re", "Re", "Re", "Re", "Re", "Re", "Tc", "Tc", "Tc", "Tc"],
  "frac_coords": [[0.117, 0.617, 0.883], [0.117, 0.883, 0.383], [0.383, 0.117, 0.883], [0.383, 0.383, 0.383], [0.617, 0.617, 0.617], [0.617, 0.883, 0.117], [0.883, 0.117, 0.617], [0.883, 0.383, 0.117], [0.000, 0.000, 0.000], [0.000, 0.500, 0.500], [0.500, 0.000, 0.500], [0.500, 0.500, 0.000]]
}

Version y
{
  "formula": "Re2Tc",
  "functional": "PBE",
  "state": "optimized geometry",
  "dos_ef_per_ev_atom": 0.876,
  "mass_density_g_cm3": 17.501,
  "sg": "No. 62",
  "lattice": [[5.541, 0.000, 0.000], [0.000, 3.895, 0.000], [0.000, 0.000, 8.272]],
  "species": ["Re", "Re", "Re", "Re", "Re", "Re", "Re", "Re", "Tc", "Tc", "Tc", "Tc"],
  "frac_coords": [[0.125, 0.250, 0.250], [0.127, 0.250, 0.584], [0.373, 0.750, 0.084], [0.375, 0.750, 0.750], [0.625, 0.250, 0.250], [0.627, 0.250, 0.916], [0.873, 0.750, 0.416], [0.875, 0.750, 0.750], [0.123, 0.250, 0.917], [0.377, 0.750, 0.417], [0.623, 0.250, 0.583], [0.877, 0.750, 0.083]]
}

Version z
{
  "formula": "Re2Tc",
  "functional": "PBE",
  "state": "optimized geometry",
  "dos_ef_per_ev_atom": 0.515,
  "mass_density_g_cm3": 16.839,
  "sg": "No. 36",
  "lattice": [[-1.666, 1.863, -1.247], [-3.434, -1.987, 4.748], [2.085, 3.991, 3.178]],
  "species": ["Re", "Re", "Re", "Re", "Tc", "Tc"],
  "frac_coords": [[0.490, 0.980, 0.278], [0.510, 0.020, 0.778], [0.156, 0.312, 0.515], [0.844, 0.688, 0.015], [0.156, 0.313, 0.040], [0.844, 0.687, 0.540]]
}

Most stable: version w (next structure +63 meV/atom)